The following is a DFT calculation (GGA-PBE) of a relaxed Th4SnBi2Te crystal.

Lattice parameters (Å, degrees): 7.835 4.549 7.937 90.00 109.45 90.00
Element x y z (fractional)
Th1 0.245 0.000 0.238
Th2 0.253 0.500 0.762
Th3 0.747 0.500 0.238
Th4 0.755 0.000 0.762
Sn1 0.000 0.500 0.000
Bi1 0.000 0.000 0.500
Bi2 0.500 0.500 0.500
Te1 0.500 0.000 0.000

Values from the calculation:
Formation energy from raw total energies = -0.681 eV per atom

The following is a DFT calculation (GGA-PBE) of a relaxed TcGe crystal.

Lattice parameters (Å, degrees): 4.277 4.277 4.958 90.00 90.00 120.00
Element x y z (fractional)
Tc1 0.333 0.667 0.250
Tc2 0.667 0.333 0.750
Ge1 0.333 0.667 0.750
Ge2 0.667 0.333 0.250

Values from the calculation:
Relative energy among the computed polymorphs = 643 meV/atom
Energy relative to the elements = 0.462 eV/atom

The following is a DFT calculation (GGA-PBE) of a relaxed Be2SiNi crystal.

Lattice parameters (Å, degrees): 2.906 2.906 4.675 90.00 90.00 90.00
Element x y z (fractional)
Be1 0.000 0.000 0.241
Be2 0.000 0.000 0.759
Si1 0.500 0.500 0.500
Ni1 0.500 0.500 0.000

Values from the calculation:
Formation energy from raw total energies = -0.190 eV per atom

The following is a DFT calculation (GGA-PBE) of a relaxed NpSi2AgO8 crystal.

Lattice parameters (Å, degrees): 5.299 5.299 7.927 98.22 98.22 64.08
Element x y z (fractional)
Np1 0.000 0.000 0.000
Si1 0.318 0.318 0.778
Si2 0.682 0.682 0.222
Ag1 0.000 0.000 0.500
O1 0.191 0.666 0.819
O2 0.205 0.205 0.925
O3 0.227 0.227 0.587
O4 0.334 0.809 0.181
O5 0.666 0.191 0.819
O6 0.773 0.773 0.413
O7 0.795 0.795 0.075
O8 0.809 0.334 0.181

Values from the calculation:
Formation energy from raw total energies = -2.146 eV per atom

The following is a DFT calculation (GGA-PBE) of a relaxed SrB2OsF crystal.

Lattice parameters (Å, degrees): 5.228 5.228 5.747 90.00 90.00 90.00
Element x y z (fractional)
Sr1 0.000 0.000 0.000
B1 0.000 0.500 0.000
B2 0.500 0.000 0.000
Os1 0.000 0.000 0.500
F1 0.500 0.500 0.500

Values from the calculation:
Formation energy from raw total energies = 2.899 eV per atom